This record from Alexandria describes a geometry-optimized CuSIO2 structure. The functional is PBE.

Output
Uncorrected energy (eV/atom): -3.561
M_tot (μB per formula unit): 1.64
Raw formation energy (meV per atom): 377

Cell: 3.751 7.402 3.751 Å, 90.00 90.00 90.00°
Site moments in Bohr magnetons follow the coordinates.
Fractional coordinates of all 5 atoms:
Cu  0.000  0.000  0.000  0.29
S  0.500  0.500  0.500  -0.03
O  0.500  0.000  0.000  0.85
O  0.000  0.000  0.500  0.38
I  0.000  0.500  0.000  -0.03